# 1
Entry from Alexandria: MnGeTePd2 after structural relaxation (PBE). Values from VASP.

```
&SYSTEM
  ibrav = 0, nat = 5, ntyp = 4
/
ATOMIC_SPECIES
Ge 72.64 Ge.upf
Mn 54.94 Mn.upf
Te 127.60 Te.upf
Pd 106.42 Pd.upf
CELL_PARAMETERS angstrom
-2.439 -3.520 2.171
3.564 -0.510 3.177
-2.124 3.265 2.906
ATOMIC_POSITIONS crystal
Ge 0.500 0.500 0.500
Mn 0.000 0.000 0.000
Te 0.000 0.000 0.500
Pd 0.500 0.000 0.000
Pd 0.000 0.500 0.000
```

Its density is 6.9 g/cm3. The uncorrected formation energy is 0.538 eV/atom. Its crystal system is tetragonal.


# 2
Entry from Alexandria: Ca4Nd after structural relaxation (PBE). Values from VASP.

```
&SYSTEM
  ibrav = 0, nat = 5, ntyp = 2
/
ATOMIC_SPECIES
Ca 40.08 Ca.upf
Nd 144.24 Nd.upf
CELL_PARAMETERS angstrom
-4.303 -2.202 -3.467
0.921 -4.999 -3.090
-2.534 -3.968 5.684
ATOMIC_POSITIONS crystal
Ca 0.334 0.334 0.347
Ca 0.333 0.333 0.865
Nd 0.000 0.000 0.000
Ca 0.666 0.666 0.653
Ca 0.667 0.667 0.135
```

Its density is 2.2 g/cm3. As for the relative energy among the computed polymorphs: 0 meV per atom. Its crystal system is monoclinic. The calculation puts the energy relative to the elements at 0.308 eV per atom.


# 3
Entry from Alexandria: PuHgI2 after structural relaxation (PBE). Values from VASP.

```
&SYSTEM
  ibrav = 0, nat = 4, ntyp = 3
/
ATOMIC_SPECIES
I 126.90 I.upf
Hg 200.59 Hg.upf
Pu 244.00 Pu.upf
CELL_PARAMETERS angstrom
-1.275 3.373 -2.303
-3.668 1.982 0.959
4.276 9.131 7.032
ATOMIC_POSITIONS crystal
I 0.888 0.888 0.337
I 0.112 0.112 0.663
Hg 0.000 0.000 0.000
Pu 0.500 0.500 0.500
```

Its density is 6.1 g/cm3. The uncorrected formation energy is -0.770 eV/atom. As for the relative energy among the computed polymorphs: 3 meV per atom. Its crystal system is trigonal.


# 4
Entry from Alexandria: La6P2Br3N after structural relaxation (PBE). Values from VASP.

```
&SYSTEM
  ibrav = 0, nat = 12, ntyp = 4
/
ATOMIC_SPECIES
La 138.91 La.upf
Br 79.90 Br.upf
N 14.01 N.upf
P 30.97 P.upf
CELL_PARAMETERS angstrom
-4.224 -3.424 4.603
3.005 -3.555 -5.393
6.285 0.813 4.535
ATOMIC_POSITIONS crystal
La 0.242 0.242 0.802
Br 0.500 0.500 0.500
La 0.758 0.758 0.198
La 0.373 0.065 0.195
Br 0.174 0.826 0.500
La 0.065 0.373 0.195
N 0.000 0.000 0.000
P 0.334 0.666 0.000
La 0.627 0.935 0.805
La 0.935 0.627 0.805
P 0.666 0.334 0.000
Br 0.826 0.174 0.500
```

Its density is 5.8 g/cm3. The uncorrected formation energy is -1.531 eV/atom. Its crystal system is monoclinic.